Tl2HgAsH | PBE | relaxed

Cell: 5.949 5.949 3.424 Å, 90.00 90.00 90.00°
Sites, in units of the cell vectors:
1 Tl 0.000 0.500 0.000
2 Tl 0.500 0.000 0.000
3 Hg 0.000 0.000 0.500
4 As 0.500 0.500 0.000
5 H 0.500 0.500 0.500

- E_tot: -2.4109 eV per atom

Dy5Ag4Au | PBE | relaxed

Cell: 3.600 3.600 18.402 Å, 90.00 90.00 90.00°
Sites, in units of the cell vectors:
1 Dy 0.000 0.000 0.000
2 Dy 0.000 0.000 0.201
3 Dy 0.000 0.000 0.403
4 Dy 0.000 0.000 0.597
5 Dy 0.000 0.000 0.799
6 Ag 0.500 0.500 0.100
7 Ag 0.500 0.500 0.300
8 Ag 0.500 0.500 0.700
9 Ag 0.500 0.500 0.900
10 Au 0.500 0.500 0.500

- Calculated formation energy: -0.4353 eV per atom

KHg3I3 | PBE | relaxed

Cell: 9.211 9.211 9.211 Å, 90.00 90.00 90.00°
Sites, in units of the cell vectors:
1 K 0.000 0.000 0.000
2 K 0.500 0.500 0.500
3 Hg 0.000 0.250 0.500
4 Hg 0.000 0.750 0.500
5 Hg 0.250 0.500 0.000
6 Hg 0.500 0.000 0.250
7 Hg 0.500 0.000 0.750
8 Hg 0.750 0.500 0.000
9 I 0.000 0.500 0.250
10 I 0.000 0.500 0.750
11 I 0.250 0.000 0.500
12 I 0.500 0.250 0.000
13 I 0.500 0.750 0.000
14 I 0.750 0.000 0.500

- Energy relative to the elements, uncorrected: -0.1749 eV/atom

Rb5AuI | PBE | relaxed

Cell: 10.291 5.170 16.346 Å, 90.00 91.33 90.00°
Sites, in units of the cell vectors:
1 Rb 0.062 0.250 0.171
2 Rb 0.159 0.750 0.585
3 Rb 0.320 0.750 0.010
4 Rb 0.370 0.250 0.370
5 Rb 0.377 0.250 0.790
6 Rb 0.623 0.750 0.210
7 Rb 0.630 0.750 0.630
8 Rb 0.680 0.250 0.990
9 Rb 0.841 0.250 0.415
10 Rb 0.938 0.750 0.829
11 Au 0.407 0.250 0.148
12 Au 0.593 0.750 0.852
13 I 0.093 0.750 0.359
14 I 0.907 0.250 0.641

- Energy relative to the elements, uncorrected: -0.4688 eV/atom

Let's list spin magnetization in order: 0.0 0.0 0.0 0.0 μB/cell.